The following is a DFT calculation (PBE) of an optimized crystal structure of La5Pm3Sm3.

The space group is P-62m (No. 189) and the conventional cell measures 11.5284, 11.5284 and 3.5110 Å, with angles of 90.00, 90.00 and 120.00 degrees. The inequivalent atoms are La at (0.0000, 0.3393, 0.0000), La at (0.3333, 0.6667, 0.0000), Pm at (0.0000, 0.5986, 0.5000) and Sm at (0.0000, 0.8401, 0.0000).

The calculation puts the formation energy from the elements at 26.6 kJ per mole of atoms. As for the total magnetization: 0.000 μB/atom.